1.
The following is a DFT calculation (PBE-GGA) of a relaxed structure of Rb2HgB9Se9.

Unit cell a=10.083 b=10.977 c=11.396 alpha=102.60 beta=90.46 gamma=116.89
Positions (direct):
Rb1 0.787 0.164 0.008
Rb2 0.213 0.836 0.992
Rb3 0.186 0.348 0.514
Rb4 0.814 0.652 0.486
Hg1 0.315 0.304 0.086
Hg2 0.685 0.696 0.914
B1 0.514 0.162 0.552
B2 0.486 0.838 0.448
B3 0.662 0.126 0.588
B4 0.338 0.874 0.412
B5 0.489 0.049 0.649
B6 0.511 0.951 0.351
B7 0.339 0.006 0.538
B8 0.661 0.994 0.462
B9 0.420 0.055 0.405
B10 0.580 0.945 0.595
B11 0.618 0.128 0.436
B12 0.382 0.872 0.564
B13 0.753 0.424 0.709
B14 0.247 0.576 0.291
B15 0.252 0.086 0.779
B16 0.748 0.914 0.221
B17 0.562 0.270 0.265
B18 0.438 0.730 0.735
Se1 0.554 0.361 0.625
Se2 0.446 0.639 0.375
Se3 0.839 0.292 0.696
Se4 0.161 0.708 0.304
Se5 0.453 0.108 0.820
Se6 0.547 0.892 0.180
Se7 0.164 0.025 0.608
Se8 0.836 0.975 0.392
Se9 0.357 0.139 0.290
Se10 0.643 0.861 0.710
Se11 0.737 0.278 0.350
Se12 0.263 0.722 0.650
Se13 0.875 0.619 0.798
Se14 0.125 0.381 0.202
Se15 0.126 0.110 0.901
Se16 0.874 0.890 0.099
Se17 0.598 0.393 0.156
Se18 0.402 0.607 0.844

Calculated total energy: -4.90 eV/atom
N(E_F): 0.000 states/eV/cell



2.
The following is a DFT calculation (PBE-GGA) of a relaxed structure of RbHg2BSe4.

Unit cell a=6.526 b=6.813 c=6.813 alpha=82.37 beta=61.38 gamma=61.38
Positions (direct):
Rb1 0.000 0.000 0.000
Hg1 0.500 0.678 0.322
Hg2 0.500 0.322 0.678
B1 0.000 0.500 0.500
Se1 0.661 0.537 0.797
Se2 0.339 0.203 0.463
Se3 0.994 0.463 0.203
Se4 0.006 0.797 0.537

Calculated total energy: -3.17 eV/atom



3.
The following is a DFT calculation (PBE-GGA) of a relaxed structure of Rb2SiHgB.

Unit cell a=6.815 b=4.877 c=6.815 alpha=90.00 beta=90.00 gamma=90.00
Site moments in Bohr magnetons follow the coordinates.
Positions (direct):
Si1 0.000 0.500 0.000  -0.08
B1 0.500 0.500 0.500  0.47
Hg1 0.000 0.000 0.000  0.00
Rb1 0.000 0.000 0.500  0.01
Rb2 0.500 0.000 0.000  0.01

Calculated total energy: -1.71 eV/atom
N(E_F): 4.140 states/eV/cell



4.
The following is a DFT calculation (PBE-GGA) of a relaxed structure of RbZrHg2B.

Unit cell a=4.657 b=5.527 c=4.657 alpha=90.00 beta=90.00 gamma=90.00
Site moments in Bohr magnetons follow the coordinates.
Positions (direct):
Rb1 0.000 0.500 0.000  0.03
B1 0.000 0.000 0.000  -0.04
Hg1 0.000 0.000 0.500  -0.01
Hg2 0.500 0.000 0.000  0.00
Zr1 0.500 0.500 0.500  0.67

Calculated total energy: -2.18 eV/atom
N(E_F): 4.387 states/eV/cell
Formation energy: 1.1776 eV/atom



5.
The following is a DFT calculation (PBE-GGA) of a relaxed structure of ReHg2B.

Unit cell a=8.522 b=8.522 c=6.386 alpha=48.14 beta=48.14 gamma=90.00
Site moments in Bohr magnetons follow the coordinates.
Positions (direct):
Re1 0.000 0.000 0.000  1.31
Re2 0.750 0.250 0.500  1.30
B1 0.500 0.500 0.000  0.01
B2 0.250 0.750 0.500  0.01
Hg1 0.499 0.125 0.250  0.02
Hg2 0.251 0.625 0.250  0.01
Hg3 0.375 0.501 0.750  0.02
Hg4 0.875 0.749 0.750  0.01

Calculated total energy: -3.73 eV/atom
N(E_F): 5.266 states/eV/cell
Formation energy: 1.1992 eV/atom



6.
The following is a DFT calculation (PBE-GGA) of a relaxed structure of Re3HgB.

Unit cell a=4.939 b=4.939 c=4.939 alpha=90.00 beta=90.00 gamma=90.00
Site moments in Bohr magnetons follow the coordinates.
Positions (direct):
Re1 0.000 0.500 0.000  1.44
Re2 0.000 0.000 0.500  2.07
Re3 0.500 0.000 0.000  1.28
B1 0.500 0.500 0.500  -0.07
Hg1 0.000 0.000 0.000  0.06

Calculated total energy: -4.67 eV/atom
N(E_F): 4.448 states/eV/cell
Formation energy: 4.1981 eV/atom



7.
The following is a DFT calculation (PBE-GGA) of a relaxed structure of ReHgB2.

Unit cell a=5.221 b=5.221 c=6.038 alpha=64.39 beta=64.39 gamma=90.00
Positions (direct):
Re1 0.500 0.500 0.000
Re2 0.250 0.750 0.500
B1 0.567 0.125 0.250
B2 0.183 0.625 0.250
B3 0.375 0.433 0.750
B4 0.875 0.817 0.750
Hg1 0.000 0.000 0.000
Hg2 0.750 0.250 0.500

Calculated total energy: -5.59 eV/atom
N(E_F): 4.248 states/eV/cell
Formation energy: 0.9325 eV/atom



8.
The following is a DFT calculation (PBE-GGA) of a relaxed structure of Re3HgB.

Unit cell a=4.192 b=4.192 c=4.192 alpha=90.00 beta=90.00 gamma=90.00
Positions (direct):
Re1 0.000 0.500 0.000
Re2 0.000 0.000 0.500
Re3 0.500 0.000 0.000
B1 0.000 0.000 0.000
Hg1 0.500 0.500 0.500

Calculated total energy: -8.22 eV/atom
N(E_F): 3.221 states/eV/cell
Formation energy: 0.6493 eV/atom